[1]
DyTm2Al7Ag2 | GGA-PBE | relaxed

For the energy, the calculation gives -152.20 eV for the cell shown. For the calculated volume, the calculation gives 19.209 A^3/atom.

The structure belongs to space group R-3m (No. 166, hexagonal axes); the cell edges are 5.5211, 5.5211 and 26.1963 Å and the angles 90.00°, 90.00° and 120.00°. The inequivalent atoms are Dy at (0.0000, 0.0000, 0.0000), Tm at (0.0000, 0.0000, 0.1423), Al at (0.0000, 0.0000, 0.5000), Al at (0.0082, 0.5041, 0.9160) and Ag at (0.0000, 0.0000, 0.3358).



[2]
YTlAuSe3 | GGA-PBE | relaxed

For the energy, the calculation gives -55.26 eV for the cell shown. For the calculated volume, the calculation gives 27.335 A^3/atom. As for the offset from the most stable computed form: 16 meV per atom.

The structure belongs to space group P2_1/m (No. 11); the cell edges are 8.350, 4.027 and 10.335 Å and the angles 90.00°, 109.32° and 90.00°. The inequivalent atoms are Y at (0.191, 0.250, 0.151), Tl at (0.242, 0.750, 0.713), Au at (0.404, 0.750, 0.393), Se at (0.059, 0.250, 0.861), Se at (0.239, 0.250, 0.448) and Se at (0.438, 0.750, 0.152).



[3]
MgFe | GGA-PBE | relaxed

For the energy, the calculation gives -38.48 eV for the cell shown. For the calculated volume, the calculation gives 15.720 A^3/atom.

The structure belongs to space group Pbcm (No. 57); the cell edges are 6.735, 4.322 and 4.320 Å and the angles 90.00°, 90.00° and 90.00°. The inequivalent atoms are Mg at (0.166, 0.001, 0.250) and Fe at (0.423, 0.504, 0.250).



[4]
LiInCoAs | GGA-PBE | relaxed

For the energy, the calculation gives -61.81 eV for the cell shown. For the calculated volume, the calculation gives 15.864 A^3/atom. As for the offset from the most stable computed form: 302 meV per atom.

The structure belongs to space group F-43m (No. 216); the cell edges are 6.332, 6.332 and 6.332 Å and the angles 90.00°, 90.00° and 90.00°. The inequivalent atoms are Li at (0.000, 0.000, 0.000), In at (0.250, 0.250, 0.750), Co at (0.250, 0.250, 0.250) and As at (0.000, 0.000, 0.500).



[5]
Pm4PI5 | GGA-PBE | relaxed

For the energy, the calculation gives -92.20 eV for the cell shown. For the calculated volume, the calculation gives 35.751 A^3/atom.

The structure belongs to space group C2/m (No. 12); the cell edges are 19.401, 4.223 and 8.950 Å and the angles 90.00°, 102.78° and 90.00°. The inequivalent atoms are Pm at (0.001, 0.000, 0.293), Pm at (0.144, 0.500, 0.572), P at (0.000, 0.500, 0.500), I at (0.000, 0.500, 0.000), I at (0.166, 0.000, 0.840) and I at (0.171, 0.000, 0.323).



[6]
AlCdCuMo | GGA-PBE | relaxed

For the energy, the calculation gives -71.42 eV for the cell shown. For the calculated volume, the calculation gives 15.966 A^3/atom. As for the offset from the most stable computed form: 0 meV per atom.

The structure belongs to space group F-43m (No. 216); the cell edges are 6.345, 6.345 and 6.345 Å and the angles 90.00°, 90.00° and 90.00°. The inequivalent atoms are Al at (0.000, 0.000, 0.000), Cd at (0.000, 0.000, 0.500), Cu at (0.250, 0.250, 0.250) and Mo at (0.250, 0.250, 0.750).



[7]
Tb3ScTe2C2 | GGA-PBE | relaxed

For the energy, the calculation gives -51.68 eV for the cell shown. For the calculated volume, the calculation gives 21.594 A^3/atom.

The structure belongs to space group P3m1 (No. 156); the cell edges are 3.7888, 3.7888 and 13.8961 Å and the angles 90.00°, 90.00° and 120.00°. The inequivalent atoms are Tb at (0.0000, 0.0000, 0.0000), Tb at (0.0000, 0.0000, 0.3227), Tb at (0.3333, 0.6667, 0.5144), Sc at (0.3333, 0.6667, 0.8208), Te at (0.0000, 0.0000, 0.6769), Te at (0.3333, 0.6667, 0.1615), C at (0.6667, 0.3333, 0.4189) and C at (0.6667, 0.3333, 0.9064).



[8]
PrAl2CuPt | GGA-PBE | relaxed

For the energy, the calculation gives -51.80 eV for the cell shown. For the calculated volume, the calculation gives 18.910 A^3/atom.

The structure belongs to space group P4/nmm (No. 129, origin choice 2); the cell edges are 4.333, 4.333 and 10.072 Å and the angles 90.00°, 90.00° and 90.00°. The inequivalent atoms are Pr at (0.250, 0.250, 0.246), Al at (0.250, 0.250, 0.881), Al at (0.250, 0.750, 0.500), Cu at (0.250, 0.750, 0.000) and Pt at (0.250, 0.250, 0.634).